Material: CsY2SbCl
Method: DFT, PBE
State: relaxed

Computed properties:
E_form (uncorrected) = 1.146 eV per atom
SG = No. 123

a b c (Å): 5.932 5.932 5.923
angles (deg): 90.00 90.00 90.00
Positions (direct):
Cs 0.000 0.000 0.000
Y 0.000 0.500 0.000
Y 0.500 0.000 0.000
Sb 0.000 0.000 0.500
Cl 0.500 0.500 0.500



Material: Pb2C
Method: DFT, PBE
State: relaxed

Computed properties:
energy relative to the lowest polymorph listed for this composition = 0.0 kJ/mol of atoms
ΔE_f = 3.13 eV/f.u.
SG = No. 166

a b c (Å): 6.424 6.424 6.424
angles (deg): 33.24 33.24 33.24
Positions (direct):
Pb 0.243 0.243 0.243
Pb 0.757 0.757 0.757
C 0.500 0.500 0.500



Material: Sm6YHo8
Method: DFT, PBE
State: relaxed

Computed properties:
energy relative to the lowest polymorph listed for this composition = 10.3 kJ/mol of atoms
ΔE_f = 3.48 eV/f.u.
SG = No. 147

a b c (Å): 9.464 9.464 6.517
angles (deg): 90.00 90.00 120.00
Positions (direct):
Sm 0.090 0.411 0.407
Sm 0.321 0.910 0.407
Sm 0.411 0.321 0.593
Sm 0.589 0.679 0.407
Sm 0.679 0.090 0.593
Sm 0.910 0.589 0.593
Y 0.000 0.000 0.500
Ho 0.022 0.690 0.100
Ho 0.310 0.332 0.100
Ho 0.332 0.022 0.900
Ho 0.333 0.667 0.846
Ho 0.667 0.333 0.154
Ho 0.668 0.978 0.100
Ho 0.690 0.668 0.900
Ho 0.978 0.310 0.900



Material: Ta2Mn5AlB2
Method: DFT, PBE
State: relaxed

Computed properties:
ΔE_f = -4.15 eV/f.u.
SG = No. 127

a b c (Å): 8.701 8.701 3.049
angles (deg): 90.00 90.00 90.00
Positions (direct):
Ta 0.176 0.324 0.000
Ta 0.324 0.824 0.000
Ta 0.676 0.176 0.000
Ta 0.824 0.676 0.000
Mn 0.000 0.500 0.500
Mn 0.068 0.780 0.500
Mn 0.220 0.068 0.500
Mn 0.280 0.568 0.500
Mn 0.432 0.280 0.500
Mn 0.500 0.000 0.500
Mn 0.568 0.720 0.500
Mn 0.720 0.432 0.500
Mn 0.780 0.932 0.500
Mn 0.932 0.220 0.500
Al 0.000 0.000 0.000
Al 0.500 0.500 0.000
B 0.122 0.622 0.000
B 0.378 0.122 0.000
B 0.622 0.878 0.000
B 0.878 0.378 0.000



Material: La2Tb5SmEr
Method: DFT, PBE
State: relaxed

Computed properties:
ΔE_f = 2.31 eV/f.u.
SG = No. 140

a b c (Å): 10.066 10.066 10.066
angles (deg): 129.03 129.03 74.96
Positions (direct):
La 0.118 0.618 0.737
La 0.382 0.118 0.500
La 0.618 0.882 0.500
La 0.882 0.382 0.263
Tb 0.000 0.000 0.000
Tb 0.075 0.141 0.500
Tb 0.141 0.641 0.066
Tb 0.359 0.425 0.500
Tb 0.425 0.925 0.066
Tb 0.500 0.500 0.000
Tb 0.575 0.075 0.934
Tb 0.641 0.575 0.500
Tb 0.859 0.359 0.934
Tb 0.925 0.859 0.500
Sm 0.250 0.250 0.000
Sm 0.750 0.750 0.000
Er 0.250 0.750 0.500
Er 0.750 0.250 0.500



Material: CeEuRu2
Method: DFT, PBE
State: relaxed

Computed properties:
energy relative to the lowest polymorph listed for this composition = 7.3 kJ/mol of atoms
ΔE_f = -0.17 eV/f.u.
SG = No. 225

a b c (Å): 4.881 4.881 4.881
angles (deg): 60.00 60.00 60.00
Positions (direct):
Ce 0.000 0.000 0.000
Eu 0.500 0.500 0.500
Ru 0.250 0.250 0.250
Ru 0.750 0.750 0.750



Material: Hf3NbIn
Method: DFT, PBE
State: relaxed

Computed properties:
energy relative to the lowest polymorph listed for this composition = 0.0 kJ/mol of atoms
ΔE_f = -0.08 eV/f.u.
SG = No. 63

a b c (Å): 8.758 8.758 5.058
angles (deg): 90.00 90.00 146.44
Positions (direct):
Hf 0.052 0.948 0.750
Hf 0.155 0.845 0.250
Hf 0.337 0.663 0.250
Hf 0.663 0.337 0.750
Hf 0.845 0.155 0.750
Hf 0.948 0.052 0.250
Nb 0.238 0.762 0.750
Nb 0.762 0.238 0.250
In 0.446 0.554 0.750
In 0.554 0.446 0.250



Material: La3AgSe
Method: DFT, PBE
State: relaxed

Computed properties:
E_form (uncorrected) = -0.464 eV per atom
energy relative to the lowest polymorph listed for this composition = 0.0 kJ/mol of atoms
SG = No. 221

a b c (Å): 5.663 5.663 5.663
angles (deg): 90.00 90.00 90.00
Positions (direct):
La 0.000 0.000 0.500
La 0.000 0.500 0.000
La 0.500 0.000 0.000
Ag 0.500 0.500 0.500
Se 0.000 0.000 0.000



Material: Y2MoBr
Method: DFT, PBE
State: relaxed

Computed properties:
E_form (uncorrected) = 0.214 eV per atom
energy relative to the lowest polymorph listed for this composition = 53.0 kJ/mol of atoms
SG = No. 160

a b c (Å): 10.291 10.291 10.291
angles (deg): 19.50 19.50 19.50
Positions (direct):
Y 0.000 0.000 0.000
Y 0.231 0.231 0.231
Mo 0.740 0.740 0.740
Br 0.495 0.495 0.495



Material: Nd2Np2S7
Method: DFT, PBE
State: relaxed

Computed properties:
E_form (uncorrected) = -1.606 eV per atom
SG = No. 44

a b c (Å): 8.522 8.522 8.522
angles (deg): 152.83 67.89 119.13
Positions (direct):
Nd 0.241 0.000 0.241
Nd 0.759 0.000 0.759
Np 0.293 0.793 0.500
Np 0.750 0.750 0.000
S 0.017 0.698 0.319
S 0.070 0.070 0.000
S 0.368 0.473 0.895
S 0.379 0.698 0.681
S 0.577 0.473 0.105
S 0.671 0.299 0.372
S 0.927 0.299 0.628